# LiMo2Pt2 (PBE-GGA, relaxed)
# * size of the total moment: 0.000 μB per formula unit
# * DFT total energy: -0.527 Ry per atom
# * ΔH_f (0 K): -35 meV/atom
# * calculated volume: 168.3 Å³ per cell
data_LiMo2Pt2
_space_group_name_H-M_alt 'P 4/m b m'
_space_group_IT_number 127
_space_group_name_Hall '-P 4 2ab'
_cell_length_a 7.853
_cell_length_b 7.853
_cell_length_c 2.729
_cell_angle_alpha 90.00
_cell_angle_beta 90.00
_cell_angle_gamma 90.00
loop_
_atom_site_label
_atom_site_fract_x
_atom_site_fract_y
_atom_site_fract_z
Li1 0.000 0.000 0.000
Mo1 0.170 0.330 0.500
Pt1 0.126 0.626 0.000